Record 1
OsPb2Au | PBE | optimized geometry

**D(E_F)**: 2.5 states/eV/f.u.
**Energy above the most stable polymorph in this dataset**: 9 meV per atom
**Density**: 14.2 g cm⁻³

abc: 3.106 4.587 13.151
angles: 90.00 90.00 90.00
Space group Imm2 (No. 44)
Unique sites:
1 Os 0.000 0.000 0.000 (multiplicity 2)
2 Pb 0.000 0.000 0.496 (multiplicity 2)
3 Pb 0.000 0.500 0.702 (multiplicity 2)
4 Au 0.000 0.500 0.320 (multiplicity 2)


Record 2
OsPb2Au | PBE | optimized geometry

**D(E_F)**: 2.4 states/eV/f.u.
**Energy above the most stable polymorph in this dataset**: 52 meV per atom
**Density**: 14.6 g cm⁻³

abc: 3.253 3.318 8.443
angles: 90.00 91.32 90.00
Space group P2/m (No. 10)
Unique sites:
1 Os 0.000 0.000 0.000 (multiplicity 1)
2 Pb 0.485 0.500 0.792 (multiplicity 2)
3 Au 0.500 0.000 0.500 (multiplicity 1)


Record 3
Os2PbAu | PBE | optimized geometry

**D(E_F)**: 3.6 states/eV/f.u.
**Density**: 18.4 g cm⁻³

abc: 2.955 4.824 4.955
angles: 90.00 90.00 90.00
Space group Pmmm (No. 47)
Unique sites:
1 Os 0.000 0.000 0.000 (multiplicity 1)
2 Os 0.500 0.000 0.500 (multiplicity 1)
3 Pb 0.000 0.500 0.500 (multiplicity 1)
4 Au 0.500 0.500 0.000 (multiplicity 1)


Record 4
OsPb2Au | PBE | optimized geometry

**D(E_F)**: 2.9 states/eV/f.u.
**Energy above the most stable polymorph in this dataset**: 8 meV per atom
**Density**: 14.5 g cm⁻³

abc: 3.230 3.230 8.775
angles: 90.00 90.00 90.00
Space group P4mm (No. 99)
Unique sites:
1 Os 0.000 0.000 0.000 (multiplicity 1)
2 Pb 0.000 0.000 0.580 (multiplicity 1)
3 Pb 0.500 0.500 0.212 (multiplicity 1)
4 Au 0.500 0.500 0.812 (multiplicity 1)


Record 5
Os2PbAu | PBE | optimized geometry

**D(E_F)**: 3.7 states/eV/f.u.
**Density**: 15.7 g cm⁻³

abc: 4.099 4.099 19.705
angles: 90.00 90.00 90.00
Space group I-42d (No. 122)
Unique sites:
1 Os 0.152 0.250 0.125 (multiplicity 8)
2 Pb 0.000 0.000 0.500 (multiplicity 4)
3 Au 0.000 0.000 0.000 (multiplicity 4)


Record 6
OsPbAu4 | PBE | optimized geometry

**D(E_F)**: 6.8 states/eV/f.u.
**Density**: 16.3 g cm⁻³

abc: 7.840 7.840 7.840
angles: 90.00 90.00 90.00
Space group F-43m (No. 216)
Unique sites:
1 Os 0.000 0.000 0.000 (multiplicity 4)
2 Pb 0.250 0.250 0.750 (multiplicity 4)
3 Au 0.125 0.125 0.375 (multiplicity 16)


Record 7
OsPb2Au | PBE | optimized geometry

**D(E_F)**: 2.7 states/eV/f.u.
**Energy above the most stable polymorph in this dataset**: 235 meV per atom
**Density**: 15.6 g cm⁻³

abc: 4.230 4.230 9.525
angles: 90.00 90.00 90.00
Space group I-4m2 (No. 119)
Unique sites:
1 Os 0.000 0.000 0.000 (multiplicity 2)
2 Pb 0.000 0.000 0.500 (multiplicity 2)
3 Pb 0.000 0.500 0.750 (multiplicity 2)
4 Au 0.000 0.500 0.250 (multiplicity 2)


Record 8
Os2PbAu | PBE | optimized geometry

**D(E_F)**: 4.4 states/eV/f.u.
**Density**: 18.5 g cm⁻³

abc: 3.0256 3.0256 26.6064
angles: 90.00 90.00 120.00
Space group R-3m (No. 166, hexagonal axes)
Unique sites:
1 Os 0.0000 0.0000 0.2488 (multiplicity 6)
2 Pb 0.0000 0.0000 0.0000 (multiplicity 3)
3 Au 0.0000 0.0000 0.5000 (multiplicity 3)


| no. | energy of formation (kcal/mol of atoms) |
| --- | --- |
| 1 | 12.6 |
| 2 | 13.6 |
| 3 | 22.7 |
| 4 | 12.6 |
| 5 | 21.6 |
| 6 | 16.2 |
| 7 | 17.8 |
| 8 | 24.9 |